(1)
VASP calculation (GGA-PBE) on crystalline LaPuIrI at its relaxed geometry.

Cell lengths 4.149, 4.149, 8.532 Å; angles 90.00, 104.07, 119.99 degrees
Atoms (fractional coordinates):
Ir: 0.310 0.553 0.878
I: 0.966 0.381 0.362
La: 0.510 0.153 0.679
Pu: 0.092 0.944 0.051

## Properties
raw total energy: -8.231 eV/atom
symmetry: R3m (160)
formation energy (no corrections): -0.813 eV per atom
calculated volume: 30.53 Å³/atom

=====

(2)
VASP calculation (GGA-PBE) on crystalline ErPdPb2O6 at its relaxed geometry.

Cell lengths 5.770, 5.888, 8.228 Å; angles 90.00, 90.06, 90.00 degrees
Atoms (fractional coordinates):
O: 0.092 0.471 0.763
O: 0.908 0.529 0.237
Pb: 0.509 0.542 0.749
O: 0.811 0.783 0.954
Er: 0.000 0.500 0.500
Pd: 0.000 0.500 0.000
Pb: 0.991 0.042 0.751
Pb: 0.491 0.458 0.251
Pb: 0.009 0.958 0.249
O: 0.689 0.283 0.546
Pd: 0.500 0.000 0.500
O: 0.408 0.971 0.737
O: 0.783 0.806 0.547
O: 0.717 0.306 0.953
O: 0.311 0.717 0.454
O: 0.217 0.194 0.453
O: 0.592 0.029 0.263
O: 0.283 0.694 0.047
Er: 0.500 0.000 0.000
O: 0.189 0.217 0.046

## Properties
raw total energy: -6.104 eV/atom
symmetry: P2_1/c (14)
formation energy (no corrections): -1.412 eV per atom
calculated volume: 13.98 Å³/atom

=====

(3)
VASP calculation (GGA-PBE) on crystalline Pd2Rh2Pb at its relaxed geometry.

Cell lengths 6.930, 6.930, 3.672 Å; angles 90.00, 90.00, 90.00 degrees
Atoms (fractional coordinates):
Pb: 0.000 0.000 0.000
Rh: 0.369 0.869 0.000
Rh: 0.631 0.131 0.000
Rh: 0.131 0.369 0.000
Pb: 0.500 0.500 0.000
Pd: 0.338 0.162 0.500
Pd: 0.662 0.838 0.500
Rh: 0.869 0.631 0.000
Pd: 0.838 0.338 0.500
Pd: 0.162 0.662 0.500

## Properties
raw total energy: -5.588 eV/atom
symmetry: P4/mbm (127)
energy of formation: 172 meV/atom
calculated volume: 17.63 Å³/atom

=====

(4)
VASP calculation (GGA-PBE) on crystalline Th4W at its relaxed geometry.

Cell lengths 5.542, 5.542, 5.542 Å; angles 90.00, 90.00, 90.00 degrees
Atoms (fractional coordinates):
Th: 0.500 0.000 0.500
Th: 0.000 0.500 0.500
Th: 0.500 0.500 0.000
W: 0.500 0.500 0.500
Th: 0.000 0.000 0.000

## Properties
raw total energy: -7.927 eV/atom
symmetry: Pm-3m (221)
energy of formation: 599 meV/atom
calculated volume: 34.04 Å³/atom

=====

(5)
VASP calculation (GGA-PBE) on crystalline Pu3US6 at its relaxed geometry.

Cell lengths 6.849, 8.499, 8.499 Å; angles 102.55, 90.00, 90.00 degrees
Atoms (fractional coordinates):
S: 0.200 0.096 0.570
S: 0.200 0.430 0.904
S: 0.700 0.570 0.096
S: 0.181 0.693 0.633
U: 0.491 0.836 0.164
U: 0.991 0.164 0.836
S: 0.749 0.992 0.008
Pu: 0.982 0.087 0.295
Pu: 0.388 0.404 0.596
Pu: 0.482 0.913 0.705
S: 0.181 0.367 0.307
S: 0.681 0.633 0.693
Pu: 0.982 0.705 0.913
S: 0.249 0.008 0.992
S: 0.700 0.904 0.430
Pu: 0.888 0.596 0.404
S: 0.681 0.307 0.367
S: 0.131 0.768 0.232
S: 0.631 0.232 0.768
Pu: 0.482 0.295 0.087

## Properties
raw total energy: -9.402 eV/atom
symmetry: Cmc2_1 (36)
formation energy (no corrections): -1.497 eV per atom
calculated volume: 24.15 Å³/atom

=====

(6)
VASP calculation (GGA-PBE) on crystalline Sb2AsRuRh at its relaxed geometry.

Cell lengths 5.233, 4.486, 5.233 Å; angles 90.00, 90.00, 90.00 degrees
Atoms (fractional coordinates):
As: 0.000 0.000 0.000
Sb: 0.000 0.000 0.500
Ru: 0.000 0.500 0.000
Sb: 0.500 0.000 0.000
Rh: 0.500 0.500 0.500

## Properties
raw total energy: -4.760 eV/atom
symmetry: P4/mmm (123)
formation energy (no corrections): 1.144 eV per atom
calculated volume: 24.57 Å³/atom

=====

(7)
VASP calculation (GGA-PBE) on crystalline YZr2Zn at its relaxed geometry.

Cell lengths 10.164, 10.164, 10.164 Å; angles 18.70, 18.70, 18.70 degrees
Atoms (fractional coordinates):
Zn: 0.250 0.250 0.250
Zr: 0.990 0.990 0.990
Y: 0.750 0.750 0.750
Zr: 0.510 0.510 0.510

## Properties
raw total energy: -6.136 eV/atom
symmetry: R-3m (166)
energy of formation: 73 meV/atom
calculated volume: 23.57 Å³/atom

=====

(8)
VASP calculation (GGA-PBE) on crystalline MgReTc2 at its relaxed geometry.

Cell lengths 4.363, 2.697, 5.222 Å; angles 79.53, 90.00, 90.00 degrees
Atoms (fractional coordinates):
Re: 0.500 0.750 0.750
Tc: 0.000 0.962 0.004
Mg: 0.500 0.250 0.250
Tc: 0.000 0.538 0.496

## Properties
raw total energy: -8.509 eV/atom
symmetry: P2/m (10)
energy of formation: 185 meV/atom
calculated volume: 15.10 Å³/atom

=====

(9)
VASP calculation (GGA-PBE) on crystalline Tb4Ho3Th4 at its relaxed geometry.

Cell lengths 5.559, 6.644, 10.679 Å; angles 90.00, 90.00, 114.73 degrees
Atoms (fractional coordinates):
Tb: 0.756 0.512 0.213
Tb: 0.756 0.512 0.787
Tb: 0.907 0.815 0.500
Ho: 0.402 0.803 0.703
Th: 0.098 0.195 0.284
Th: 0.625 0.250 0.500
Tb: 0.947 0.894 0.000
Ho: 0.254 0.508 0.000
Th: 0.555 0.109 0.000
Th: 0.098 0.195 0.716
Ho: 0.402 0.803 0.297

## Properties
raw total energy: -5.442 eV/atom
symmetry: Amm2 (38)
energy of formation: 188 meV/atom
calculated volume: 32.57 Å³/atom

=====

(10)
VASP calculation (GGA-PBE) on crystalline Re2TeAs at its relaxed geometry.

Cell lengths 3.194, 3.194, 6.422 Å; angles 90.00, 90.00, 90.00 degrees
Atoms (fractional coordinates):
Te: 0.500 0.500 0.250
As: 0.500 0.500 0.750
Re: 0.000 0.000 0.522
Re: 0.000 0.000 0.978

## Properties
raw total energy: -7.585 eV/atom
symmetry: P4/mmm (123)
formation energy (no corrections): 0.587 eV per atom
calculated volume: 16.38 Å³/atom

=====

(11)
VASP calculation (GGA-PBE) on crystalline YB14Mo at its relaxed geometry.

Cell lengths 5.879, 7.428, 7.428 Å; angles 66.84, 66.69, 66.69 degrees
Atoms (fractional coordinates):
B: 0.332 0.375 0.471
B: 0.168 0.029 0.125
B: 0.275 0.403 0.728
Y: 0.250 0.375 0.125
Mo: 0.500 0.000 0.500
B: 0.832 0.198 0.138
B: 0.619 0.008 0.754
B: 0.823 0.375 0.471
B: 0.668 0.625 0.529
B: 0.832 0.971 0.875
B: 0.881 0.746 0.492
B: 0.668 0.362 0.302
B: 0.323 0.971 0.875
B: 0.725 0.597 0.272
B: 0.332 0.638 0.698
B: 0.080 0.091 0.748
B: 0.406 0.597 0.272
B: 0.677 0.029 0.125
Mo: 0.000 0.000 0.500
B: 0.225 0.772 0.097
B: 0.177 0.625 0.529
B: 0.580 0.248 0.591
B: 0.168 0.802 0.862
Y: 0.750 0.625 0.875
B: 0.906 0.772 0.097
B: 0.381 0.992 0.246
B: 0.420 0.752 0.409
B: 0.119 0.254 0.508
B: 0.094 0.228 0.903
B: 0.775 0.228 0.903
B: 0.594 0.403 0.728
B: 0.920 0.909 0.252

## Properties
raw total energy: -7.052 eV/atom
symmetry: Imma (74)
energy of formation: -128 meV/atom
calculated volume: 8.21 Å³/atom

=====

(12)
VASP calculation (GGA-PBE) on crystalline PmCoSe2 at its relaxed geometry.

Cell lengths 3.654, 3.654, 8.457 Å; angles 77.53, 77.53, 60.00 degrees
Atoms (fractional coordinates):
Pm: 0.000 0.000 0.000
Co: 0.500 0.500 0.500
Se: 0.118 0.118 0.646
Se: 0.882 0.882 0.354

## Properties
raw total energy: -5.070 eV/atom
symmetry: R-3m (166)
formation energy (no corrections): -0.363 eV per atom
calculated volume: 23.67 Å³/atom

=====

(13)
VASP calculation (GGA-PBE) on crystalline ScGa3Ru4 at its relaxed geometry.

Cell lengths 3.131, 4.294, 8.651 Å; angles 90.00, 90.00, 90.00 degrees
Atoms (fractional coordinates):
Ru: 0.000 0.000 0.000
Ru: 0.000 0.000 0.500
Ga: 0.500 0.500 0.500
Ru: 0.000 0.500 0.735
Ga: 0.500 0.000 0.246
Ru: 0.000 0.500 0.265
Sc: 0.500 0.500 0.000
Ga: 0.500 0.000 0.754

## Properties
raw total energy: -6.966 eV/atom
symmetry: Pmmm (47)
energy of formation: -402 meV/atom
calculated volume: 14.54 Å³/atom

=====

(14)
VASP calculation (GGA-PBE) on crystalline Zr3TiTc at its relaxed geometry.

Cell lengths 4.816, 4.816, 4.816 Å; angles 90.00, 90.00, 90.00 degrees
Atoms (fractional coordinates):
Zr: 0.000 0.500 0.000
Ti: 0.000 0.000 0.000
Zr: 0.500 0.000 0.000
Tc: 0.500 0.500 0.500
Zr: 0.000 0.000 0.500

## Properties
raw total energy: -7.641 eV/atom
symmetry: Pm-3m (221)
energy of formation: 1140 meV/atom
calculated volume: 22.34 Å³/atom

=====

(15)
VASP calculation (GGA-PBE) on crystalline Li3Mn at its relaxed geometry.

Cell lengths 2.801, 2.801, 9.765 Å; angles 90.00, 90.00, 120.00 degrees
Atoms (fractional coordinates):
Li: 0.000 0.000 0.985
Mn: 0.667 0.333 0.750
Li: 0.667 0.333 0.250
Li: 0.000 0.000 0.515

## Properties
raw total energy: -3.503 eV/atom
symmetry: P-6m2 (187)
energy of formation: 225 meV/atom
calculated volume: 16.59 Å³/atom

=====

(16)
VASP calculation (GGA-PBE) on crystalline Li4Se at its relaxed geometry.

Cell lengths 4.933, 4.933, 4.933 Å; angles 90.00, 90.00, 90.00 degrees
Atoms (fractional coordinates):
Se: 0.500 0.500 0.500
Li: 0.500 0.500 0.000
Li: 0.500 0.000 0.500
Li: 0.000 0.000 0.000
Li: 0.000 0.500 0.500

## Properties
raw total energy: -2.724 eV/atom
symmetry: Pm-3m (221)
formation energy (no corrections): -0.496 eV per atom
calculated volume: 24.01 Å³/atom

=====

(17)
VASP calculation (GGA-PBE) on crystalline BaLiIr2 at its relaxed geometry.

Cell lengths 4.761, 4.761, 6.246 Å; angles 82.86, 82.86, 36.40 degrees
Atoms (fractional coordinates):
Ir: 0.484 0.484 0.588
Li: 0.750 0.750 0.750
Ir: 0.016 0.016 0.912
Ba: 0.250 0.250 0.250

## Properties
raw total energy: -5.117 eV/atom
symmetry: C2/m (12)
energy of formation: 273 meV/atom
calculated volume: 20.83 Å³/atom